B5C7: optimized geometry, PBE.

Cell: 11.857 2.610 5.297 Å, 90.00 100.72 90.00°
Space group Cm (No. 8)
Inequivalent atoms, fractional coordinates:
B (0.000, 0.000, 0.000) x2
B (0.026, 0.000, 0.603) x2
B (0.132, 0.000, 0.416) x2
B (0.268, 0.500, 0.691) x2
B (0.421, 0.000, 0.506) x2
C (0.116, 0.000, 0.879) x2
C (0.188, 0.500, 0.922) x2
C (0.194, 0.500, 0.396) x2
C (0.270, 0.500, 0.186) x2
C (0.348, 0.000, 0.221) x2
C (0.353, 0.000, 0.745) x2
C (0.425, 0.000, 0.014) x2

For the raw total energy, the calculation gives -7.81 eV per atom. The formation energy is 0.35 eV per atom. Its magnetization is 0.00 μB/atom. The calculation puts the density of states at the Fermi level at 0.199 states/eV per atom. Its offset from the most stable computed form is 94 meV per atom.

AcThAsP: optimized geometry, PBE.

Cell: 4.2498 4.2498 22.3327 Å, 90.00 90.00 120.00°
Space group R3m (No. 160, hexagonal axes)
Inequivalent atoms, fractional coordinates:
Ac (0.0000, 0.0000, 0.0000) x3
Th (0.0000, 0.0000, 0.1773) x3
As (0.0000, 0.0000, 0.7630) x3
P (0.0000, 0.0000, 0.5818) x3

For the raw total energy, the calculation gives -6.76 eV per atom. The formation energy is -1.36 eV per atom. Its magnetization is 0.00 μB/atom. The calculation puts the density of states at the Fermi level at 0.678 states/eV per atom.

Ca3TbPb2S: optimized geometry, PBE.

Cell: 5.177 5.274 16.387 Å, 90.00 90.00 90.00°
Space group Immm (No. 71)
Inequivalent atoms, fractional coordinates:
Ca (0.000, 0.000, 0.000) x2
Ca (0.000, 0.500, 0.324) x4
Tb (0.000, 0.000, 0.500) x2
Pb (0.000, 0.500, 0.128) x4
S (0.000, 0.500, 0.500) x2

For the raw total energy, the calculation gives -4.05 eV per atom. Its magnetization is 0.00 μB/atom. The calculation puts the density of states at the Fermi level at 0.550 states/eV per atom. The formation energy without anion corrections comes out at -0.879 eV per atom.

ZnGaTe2I: optimized geometry, PBE.

Cell: 5.457 5.457 5.583 Å, 90.00 90.00 90.00°
Space group P4/mmm (No. 123)
Inequivalent atoms, fractional coordinates:
Zn (0.000, 0.000, 0.000) x1
Ga (0.500, 0.500, 0.500) x1
Te (0.000, 0.500, 0.500) x2
I (0.500, 0.500, 0.000) x1

For the raw total energy, the calculation gives -2.09 eV per atom. Its magnetization is 0.00 μB/atom. The calculation puts the density of states at the Fermi level at 0.869 states/eV per atom. Its offset from the most stable computed form is 184 meV per atom. The formation energy without anion corrections comes out at 0.338 eV per atom.

CaHf2Sb2: optimized geometry, PBE.

Cell: 4.357 4.357 13.848 Å, 90.00 90.00 90.00°
Space group I4/mmm (No. 139)
Inequivalent atoms, fractional coordinates:
Ca (0.000, 0.000, 0.000) x2
Hf (0.000, 0.500, 0.250) x4
Sb (0.000, 0.000, 0.391) x4

For the raw total energy, the calculation gives -6.50 eV per atom. Its magnetization is 0.00 μB/atom. The calculation puts the density of states at the Fermi level at 0.473 states/eV per atom. Its offset from the most stable computed form is 0 meV per atom. The formation energy without anion corrections comes out at -0.470 eV per atom.

K2CdI2Cl2: optimized geometry, PBE.

Cell: 5.358 5.358 17.605 Å, 90.00 90.00 90.00°
Space group I4/mmm (No. 139)
Inequivalent atoms, fractional coordinates:
K (0.000, 0.000, 0.125) x4
Cd (0.000, 0.000, 0.500) x2
I (0.000, 0.000, 0.333) x4
Cl (0.000, 0.500, 0.000) x4

For the raw total energy, the calculation gives -2.75 eV per atom. Its magnetization is 0.00 μB/atom. The calculation puts the density of states at the Fermi level at 0.000 states/eV per atom. The formation energy without anion corrections comes out at -1.333 eV per atom.

Ho3Cd4Ag2: optimized geometry, PBE.

Cell: 10.870 4.937 9.124 Å, 90.00 121.34 90.00°
Space group C2/m (No. 12)
Inequivalent atoms, fractional coordinates:
Ho (0.000, 0.000, 0.000) x2
Ho (0.169, 0.500, 0.663) x4
Cd (0.055, 0.000, 0.387) x4
Cd (0.217, 0.500, 0.053) x4
Ag (0.108, 0.500, 0.276) x4

For the raw total energy, the calculation gives -2.86 eV per atom. The formation energy is -0.29 eV per atom. Its magnetization is 0.00 μB/atom. The calculation puts the density of states at the Fermi level at 0.574 states/eV per atom.